The following is a DFT calculation (PBE-GGA) of an optimized crystal structure of Mg2Zn3Ag3.

POSCAR file:
```
Mg2Zn3Ag3
1.0
4.179 0.000 0.000
0.000 4.226 0.000
0.000 0.000 7.713
Mg Zn Ag
2 3 3
Direct
0.000 0.000 0.249
0.000 0.000 0.751
0.000 0.500 0.000
0.500 0.500 0.246
0.500 0.500 0.754
0.000 0.500 0.500
0.500 0.000 0.000
0.500 0.000 0.500
```

Properties
formation energy = -11.0 kJ/mol of atoms
space-group type = Pmmm
D(E_F) = 1.7 states/eV/f.u.